(1)
An optimized crystal structure of Ir2NF2. Source: the Alexandria database, functional GGA-PBE.

E_form (uncorrected): 4.20 eV/f.u.
relative energy among the computed polymorphs: 1.069 eV/atom

Lattice parameters (Å, degrees): 6.143 6.143 6.143 149.85 149.85 43.17
Fractional positions:
Ir1 0.100 0.100 0.000
Ir2 0.900 0.900 0.000
N1 0.500 0.500 0.000
F1 0.250 0.750 0.500
F2 0.750 0.250 0.500

***

(2)
An optimized crystal structure of IrN2F2. Source: the Alexandria database, functional GGA-PBE.

E_form (uncorrected): 2.47 eV/f.u.
relative energy among the computed polymorphs: 0.000 eV/atom

Lattice parameters (Å, degrees): 3.794 3.794 4.091 90.00 90.00 90.00
Fractional positions:
Ir1 0.000 0.000 0.000
N1 0.000 0.500 0.000
N2 0.500 0.000 0.000
F1 0.000 0.000 0.500
F2 0.500 0.500 0.500

***

(3)
An optimized crystal structure of Ir3NF. Source: the Alexandria database, functional GGA-PBE.

E_form (uncorrected): 4.20 eV/f.u.

Lattice parameters (Å, degrees): 4.057 4.057 4.057 90.00 90.00 90.00
Fractional positions:
Ir1 0.000 0.000 0.500
Ir2 0.000 0.500 0.000
Ir3 0.500 0.000 0.000
N1 0.000 0.000 0.000
F1 0.500 0.500 0.500

***

(4)
An optimized crystal structure of NaIrNF2. Source: the Alexandria database, functional GGA-PBE.

E_form (uncorrected): 3.36 eV/f.u.
relative energy among the computed polymorphs: 1.543 eV/atom

Lattice parameters (Å, degrees): 3.828 3.828 4.501 90.00 90.00 90.00
Fractional positions:
Na1 0.000 0.000 0.000
Ir1 0.500 0.500 0.500
N1 0.000 0.000 0.500
F1 0.000 0.500 0.000
F2 0.500 0.000 0.000

***

(5)
An optimized crystal structure of NaIrNF2. Source: the Alexandria database, functional GGA-PBE.

E_form (uncorrected): -4.36 eV/f.u.
relative energy among the computed polymorphs: 0.000 eV/atom

Lattice parameters (Å, degrees): 4.453 4.453 3.690 90.00 90.00 90.00
Fractional positions:
Na1 0.000 0.000 0.000
Ir1 0.500 0.500 0.500
N1 0.500 0.500 0.000
F1 0.000 0.500 0.500
F2 0.500 0.000 0.500

***

(6)
An optimized crystal structure of NbIrNF2. Source: the Alexandria database, functional GGA-PBE.

E_form (uncorrected): 1.25 eV/f.u.
relative energy among the computed polymorphs: 0.458 eV/atom

Lattice parameters (Å, degrees): 4.503 4.503 3.692 90.00 90.00 90.00
Fractional positions:
Nb1 0.000 0.000 0.000
Ir1 0.500 0.500 0.500
N1 0.500 0.500 0.000
F1 0.000 0.500 0.500
F2 0.500 0.000 0.500

***

V, respectively: 58 59 67 66 73 75 Å³ per cell.
N(E_F), respectively: 4.939 1.911 5.444 5.067 1.869 5.609 states/eV/f.u..
Total moment, respectively: 0.9 1.8 0.0 4.0 0.0 3.1 μB/cell.